1.
Density functional theory data (GGA-PBE) for a relaxed structure of YCu2Cl6.

Calculated total energy ... -4.123 eV/atom
Formation energy without anion corrections ... -1.263 eV per atom
Volume ... 29.629 Å³/atom

Unit cell a=6.7308 b=9.1594 c=9.1594 alpha=84.63 beta=76.47 gamma=76.47
Last column: nearest neighbours and their distance in Å.
Fractional coordinates of all 18 atoms:
Cl 0.3581 0.3535 0.8831  1 Cu 2.23
Cl 0.1441 0.8209 0.9439  2 Y 2.65-2.69
Cl 0.6441 0.9439 0.8209  2 Y 2.65-2.69
Cl 0.1419 0.1169 0.6465  1 Cu 2.23
Cl 0.8581 0.8831 0.3535  1 Cu 2.23
Cl 0.0097 0.4567 0.3209  3 Cu 2.24-2.48
Cl 0.6419 0.6465 0.1169  1 Cu 2.23
Cl 0.8559 0.1791 0.0561  2 Y 2.65-2.69
Cl 0.5097 0.3209 0.4567  3 Cu 2.24-2.48
Cl 0.9903 0.5433 0.6791  3 Cu 2.24-2.48
Cl 0.3559 0.0561 0.1791  2 Y 2.65-2.69
Cl 0.4903 0.6791 0.5433  3 Cu 2.24-2.48
Cu 0.1461 0.3312 0.5094  4 Cl 2.23-2.48
Cu 0.8539 0.6688 0.4906  4 Cl 2.23-2.48
Cu 0.3539 0.4906 0.6688  4 Cl 2.23-2.48
Cu 0.6461 0.5094 0.3312  4 Cl 2.23-2.48
Y 0.7500 0.9099 0.0901  6 Cl 2.65-2.69
Y 0.2500 0.0901 0.9099  6 Cl 2.65-2.69

=====

2.
Density functional theory data (GGA-PBE) for a relaxed structure of YAg2Pb2.

Relative energy among the computed polymorphs ... 58 meV/atom
Calculated total energy ... -3.966 eV/atom
DFT formation energy ... -0.0490 eV/atom
Volume ... 25.817 Å³/atom

Unit cell a=4.3603 b=4.3603 c=7.4570 alpha=73.00 beta=73.00 gamma=90.00
Last column: nearest neighbours and their distance in Å.
Fractional coordinates of all 5 atoms:
Pb 0.3912 0.3912 0.2176  4 Ag 2.90, 1 Pb 2.96
Pb 0.6088 0.6088 0.7824  4 Ag 2.90, 1 Pb 2.96
Ag 0.2500 0.7500 0.5000  4 Pb 2.90, 4 Ag 3.08
Ag 0.7500 0.2500 0.5000  4 Pb 2.90, 4 Ag 3.08
Y 0.0000 0.0000 0.0000  8 Pb 3.42